Entry 1:
# Re2TcBr

A relaxed Re2TcBr crystal (PBE, Alexandria).

Lattice parameters (Å, degrees): 10.0847 2.9452 4.3782 90.00 93.01 90.00
Last column: nearest neighbours and their distance in Å.
Space group C2/m (No. 12)
Asymmetric unit:
1 Re 0.2157 0.0000 0.2198 [4 per cell]  2 Re 2.55, 1 Br 2.55, 2 Tc 2.76
2 Tc 0.0000 0.5000 0.0000 [2 per cell]  4 Br 2.64, 4 Re 2.76, 2 Tc 2.95
3 Br 0.0000 0.0000 0.5000 [2 per cell]  2 Re 2.55, 4 Tc 2.64

Calculated values
The offset from the most stable computed form is 0.918 eV per formula unit. Its formation energy from raw total energies is 0.796 eV per atom.

***

Entry 2:
# RuPtS2Cl

A relaxed RuPtS2Cl crystal (PBE, Alexandria).

Lattice parameters (Å, degrees): 4.5295 4.5295 4.8068 90.00 90.00 90.00
Last column: nearest neighbours and their distance in Å.
Space group P4/mmm (No. 123)
Asymmetric unit:
1 Ru 0.0000 0.0000 0.0000 [1 per cell]  4 S 2.26, 2 Cl 2.40
2 Pt 0.5000 0.5000 0.5000 [1 per cell]  4 Cl 3.20, 8 S 3.30
3 S 0.0000 0.5000 0.0000 [2 per cell]  2 Ru 2.26
4 Cl 0.0000 0.0000 0.5000 [1 per cell]  2 Ru 2.40

Calculated values
The offset from the most stable computed form is 0.000 eV per formula unit. Its formation energy from raw total energies is 0.773 eV per atom.

***

Entry 3:
# Na2Mg2Ga

A relaxed Na2Mg2Ga crystal (PBE, Alexandria).

Lattice parameters (Å, degrees): 9.1471 9.1471 3.2489 90.00 90.00 90.00
Last column: nearest neighbours and their distance in Å.
Space group P4/mbm (No. 127)
Asymmetric unit:
1 Na 0.1234 0.3766 0.0000 [4 per cell]  6 Mg 3.06-3.23, 3 Na 3.19-3.25
2 Mg 0.1766 0.6766 0.5000 [4 per cell]  6 Na 3.06-3.23, 2 Mg 3.25
3 Ga 0.0000 0.0000 0.0000 [2 per cell]  2 Ga 3.25, 4 Na 3.63

Calculated values
The offset from the most stable computed form is 0.980 eV per formula unit. Its energy relative to the elements is 6.085 kcal/mol of atoms.

***

Entry 4:
# Hf2BeNb2

A relaxed Hf2BeNb2 crystal (PBE, Alexandria).

Lattice parameters (Å, degrees): 3.8366 3.8366 13.9807 90.00 90.00 90.00
Last column: nearest neighbours and their distance in Å.
Space group I4/mmm (No. 139)
Asymmetric unit:
1 Hf 0.0000 0.5000 0.2500 [4 per cell]  4 Hf 2.71, 4 Nb 3.03
2 Be 0.0000 0.0000 0.0000 [2 per cell]  8 Nb 2.95
3 Nb 0.0000 0.0000 0.4176 [4 per cell]  1 Nb 2.30

Calculated values
The offset from the most stable computed form is 3.548 eV per formula unit. Its energy relative to the elements is 22.233 kcal/mol of atoms.

***

Entry 5:
# KMnW2

A relaxed KMnW2 crystal (PBE, Alexandria).

Lattice parameters (Å, degrees): 3.1801 4.6109 10.4402 90.00 90.00 90.00
Last column: nearest neighbours and their distance in Å.
Space group Cmm2 (No. 35)
Asymmetric unit:
1 K 0.0000 0.0000 0.0000 [2 per cell]  4 K 2.80
2 Mn 0.0000 0.5000 0.7043 [2 per cell]  2 W 2.59, 4 Mn 2.80
3 W 0.0000 0.0000 0.5087 [2 per cell]  2 Mn 2.59, 6 W 2.69-2.80
4 W 0.0000 0.5000 0.3012 [2 per cell]  6 W 2.69-2.80

Calculated values
The offset from the most stable computed form is 0.000 eV per formula unit. Its energy relative to the elements is 19.151 kcal/mol of atoms.

***

Entry 6:
# PmPrSi2Ni2

A relaxed PmPrSi2Ni2 crystal (PBE, Alexandria).

Lattice parameters (Å, degrees): 4.0144 4.0144 8.4802 90.00 90.00 120.00
Last column: nearest neighbours and their distance in Å.
Space group P-3m1 (No. 164)
Asymmetric unit:
1 Pm 0.0000 0.0000 0.0000 [1 per cell]  6 Ni 3.11, 6 Si 3.12
2 Pr 0.0000 0.0000 0.5000 [1 per cell]  6 Si 3.16, 6 Ni 3.17
3 Si 0.3333 0.6667 0.2466 [2 per cell]  3 Ni 2.32
4 Ni 0.3333 0.6667 0.7548 [2 per cell]  3 Si 2.32

Calculated values
Its formation energy from raw total energies is -0.719 eV per atom.

***

Entry 7:
# NbVPdS4

A relaxed NbVPdS4 crystal (PBE, Alexandria).

Lattice parameters (Å, degrees): 7.1021 7.3502 9.9782 90.00 90.00 90.00
Last column: nearest neighbours and their distance in Å.
Space group Imma (No. 74)
Asymmetric unit:
1 Nb 0.2500 0.2500 0.2500 [4 per cell]  6 S 2.48-2.50
2 V 0.0000 0.0000 0.0000 [4 per cell]  6 S 2.43
3 Pd 0.0000 0.2500 0.6246 [4 per cell]  4 S 2.33
4 S 0.0000 0.0111 0.2430 [8 per cell]  1 Pd 2.33, 1 V 2.43, 2 Nb 2.50
5 S 0.2241 0.2500 0.0018 [8 per cell]  1 Pd 2.33, 2 V 2.43, 1 Nb 2.48

Calculated values
Its formation energy from raw total energies is -0.753 eV per atom.

***

Entry 8:
# Ba2AcSn6

A relaxed Ba2AcSn6 crystal (PBE, Alexandria).

Lattice parameters (Å, degrees): 12.5601 8.4262 6.0834 90.00 92.17 90.00
Last column: nearest neighbours and their distance in Å.
Space group C2/m (No. 12)
Asymmetric unit:
1 Ba 0.1525 0.0000 0.3635 [4 per cell]  8 Sn 3.51-3.85
2 Ac 0.0000 0.5000 0.5000 [2 per cell]  6 Sn 3.44-3.48
3 Sn 0.0969 0.2189 0.8664 [8 per cell]  3 Sn 2.98-3.18
4 Sn 0.1963 0.5000 0.1106 [4 per cell]  4 Sn 3.04-3.18

Calculated values
Its energy relative to the elements is -9.916 kcal/mol of atoms.

***

Entry 9:
# PmTm2Zn4

A relaxed PmTm2Zn4 crystal (PBE, Alexandria).

Lattice parameters (Å, degrees): 5.1337 5.1337 12.5837 90.00 90.00 90.00
Last column: nearest neighbours and their distance in Å.
Space group I4/mmm (No. 139)
Asymmetric unit:
1 Pm 0.0000 0.0000 0.0000 [2 per cell]  8 Zn 2.95
2 Tm 0.0000 0.0000 0.2726 [4 per cell]  8 Zn 2.92-3.23
3 Zn 0.0000 0.5000 0.1162 [8 per cell]  1 Zn 2.92, 4 Tm 2.92-3.23, 2 Pm 2.95

Calculated values
Its energy relative to the elements is -3.148 kcal/mol of atoms.

***

Entry 10:
# NaPmSnSb

A relaxed NaPmSnSb crystal (PBE, Alexandria).

Lattice parameters (Å, degrees): 7.6593 7.6593 7.6593 90.00 90.00 90.00
Last column: nearest neighbours and their distance in Å.
Space group F-43m (No. 216)
Asymmetric unit:
1 Na 0.0000 0.0000 0.0000 [4 per cell]  4 Sn 3.32, 4 Sb 3.32
2 Pm 0.0000 0.0000 0.5000 [4 per cell]  4 Sn 3.32, 4 Sb 3.32
3 Sn 0.2500 0.2500 0.7500 [4 per cell]  4 Na 3.32, 4 Pm 3.32
4 Sb 0.2500 0.2500 0.2500 [4 per cell]  4 Na 3.32, 4 Pm 3.32

Calculated values
Its formation energy from raw total energies is -0.416 eV per atom.

***

Entry 11:
# Y2ScAg

A relaxed Y2ScAg crystal (PBE, Alexandria).

Lattice parameters (Å, degrees): 3.7910 5.1877 10.6866 90.00 90.00 90.00
Last column: nearest neighbours and their distance in Å.
Space group Immm (No. 71)
Asymmetric unit:
1 Y 0.0000 0.0000 0.2203 [4 per cell]  2 Ag 3.02, 4 Y 3.27
2 Sc 0.0000 0.5000 0.0000 [2 per cell]  4 Ag 3.21, 8 Y 3.50-3.54
3 Ag 0.0000 0.5000 0.5000 [2 per cell]  4 Y 3.02, 4 Sc 3.21

Calculated values
The offset from the most stable computed form is 0.271 eV per formula unit. Its energy relative to the elements is -1.198 kcal/mol of atoms.

***

Entry 12:
# Ba2LiHg

A relaxed Ba2LiHg crystal (PBE, Alexandria).

Lattice parameters (Å, degrees): 4.7000 4.7000 28.9837 90.00 90.00 120.00
Last column: nearest neighbours and their distance in Å.
Space group R3m (No. 160, hexagonal axes)
Asymmetric unit:
1 Ba 0.0000 0.0000 0.0000 [3 per cell]  3 Hg 3.48, 3 Li 3.75
2 Ba 0.0000 0.0000 0.1816 [3 per cell]  3 Hg 3.51, 3 Li 3.81
3 Li 0.0000 0.0000 0.7558 [3 per cell]  6 Ba 3.75-3.81
4 Hg 0.0000 0.0000 0.5915 [3 per cell]  6 Ba 3.48-3.51

Calculated values
Its energy relative to the elements is -2.420 kcal/mol of atoms.